No. 1
TbErThCd GGA-PBE relaxed; calculated density = 9642 kg/m3; calculated formation energy = 0.42 eV/f.u.; space-group type = F-43m; DOS(E_F) = 1.67 states/eV/atom
1.0
0.0000 3.8652 3.8652
3.8652 0.0000 3.8652
3.8652 3.8652 0.0000
Tb Er Th Cd
1 1 1 1
direct
0.0000 0.0000 0.0000 Tb
0.5000 0.5000 0.5000 Er
0.2500 0.2500 0.2500 Th
0.7500 0.7500 0.7500 Cd

No. 2
ReSbO3 GGA-PBE relaxed; calculated density = 9473 kg/m3; space-group type = Pm-3m; electronic total energy = -6.961 eV/atom; DOS(E_F) = 0.80 states/eV/atom
1.0
3.9664 0.0000 0.0000
0.0000 3.9664 0.0000
0.0000 0.0000 3.9664
Re Sb O
1 1 3
direct
0.0000 0.0000 0.0000 Re
0.5000 0.5000 0.5000 Sb
0.0000 0.0000 0.5000 O
0.0000 0.5000 0.0000 O
0.5000 0.0000 0.0000 O

No. 3
AsPbSe2 GGA-PBE relaxed; calculated density = 7828 kg/m3; space-group type = Fm-3m; electronic total energy = -3.701 eV/atom; DOS(E_F) = 0.46 states/eV/atom
1.0
0.0000 3.6004 3.6004
3.6004 0.0000 3.6004
3.6004 3.6004 0.0000
As Pb Se
1 1 2
direct
0.0000 0.0000 0.0000 As
0.5000 0.5000 0.5000 Pb
0.2500 0.2500 0.2500 Se
0.7500 0.7500 0.7500 Se

No. 4
CsTe2H6 GGA-PBE relaxed; calculated density = 3422 kg/m3; space-group type = C2/m; electronic total energy = -3.178 eV/atom; DOS(E_F) = 0.27 states/eV/atom
1.0
5.1212 -2.9986 0.0000
5.1212 2.9986 0.0000
-3.9595 0.0000 6.2274
Cs Te H
1 2 6
direct
0.0000 0.0000 0.0000 Cs
0.2710 0.7290 0.5000 Te
0.7290 0.2710 0.5000 Te
0.0310 0.5252 0.0614 H
0.4748 0.9690 0.9386 H
0.4932 0.4932 0.9443 H
0.5068 0.5068 0.0557 H
0.5252 0.0310 0.0614 H
0.9690 0.4748 0.9386 H

No. 5
N GGA-PBE relaxed; calculated density = 967 kg/m3; space-group type = R-3c; electronic total energy = -8.323 eV/atom; DOS(E_F) = 0.00 states/eV/atom
1.0
4.9884 2.8801 4.4665
-4.9884 2.8801 4.4665
0.0000 -5.7601 4.4665
N
16
direct
0.0415 0.0415 0.0415 N
0.0421 0.7239 0.5595 N
0.0595 0.2239 0.5421 N
0.2239 0.5421 0.0595 N
0.2761 0.4405 0.9579 N
0.4405 0.9579 0.2761 N
0.4585 0.4585 0.4585 N
0.4579 0.9405 0.7761 N
0.5421 0.0595 0.2239 N
0.5415 0.5415 0.5415 N
0.5595 0.0421 0.7239 N
0.7239 0.5595 0.0421 N
0.7761 0.4579 0.9405 N
0.9405 0.7761 0.4579 N
0.9579 0.2761 0.4405 N
0.9585 0.9585 0.9585 N

No. 6
Pr4InCo GGA-PBE relaxed; calculated density = 6949 kg/m3; calculated formation energy = -1.13 eV/f.u.; space-group type = C2/m; DOS(E_F) = 1.11 states/eV/atom
1.0
8.5132 -3.6200 0.0000
8.5132 3.6200 0.0000
-2.1916 0.0000 5.7175
Pr In Co
8 2 2
direct
0.1258 0.6366 0.3821 Pr
0.2304 0.7696 0.0000 Pr
0.3129 0.3129 0.8138 Pr
0.3634 0.8742 0.6179 Pr
0.6366 0.1258 0.3821 Pr
0.6871 0.6871 0.1862 Pr
0.7696 0.2304 0.0000 Pr
0.8742 0.3634 0.6179 Pr
0.1951 0.1951 0.1952 In
0.8049 0.8049 0.8048 In
0.4988 0.4988 0.6931 Co
0.5012 0.5012 0.3069 Co

No. 7
Fe2Ni8Pt3 GGA-PBE relaxed; calculated density = 11228 kg/m3; calculated formation energy = 2.16 eV/f.u.; space-group type = Cmmm; DOS(E_F) = 1.18 states/eV/atom
1.0
3.1137 -6.8533 0.0000
3.1137 6.8533 0.0000
0.0000 0.0000 4.0423
Fe Ni Pt
2 8 3
direct
0.2293 0.7707 0.0000 Fe
0.7707 0.2293 0.0000 Fe
0.1386 0.8614 0.5000 Ni
0.1784 0.4220 0.0000 Ni
0.3304 0.6696 0.5000 Ni
0.4220 0.1784 0.0000 Ni
0.5780 0.8216 0.0000 Ni
0.6696 0.3304 0.5000 Ni
0.8216 0.5780 0.0000 Ni
0.8614 0.1386 0.5000 Ni
0.0000 0.0000 0.0000 Pt
0.2910 0.2910 0.5000 Pt
0.7090 0.7090 0.5000 Pt

No. 8
U4Si GGA-PBE relaxed; calculated density = 12168 kg/m3; space-group type = Pm-3m; electronic total energy = -8.995 eV/atom; DOS(E_F) = 4.66 states/eV/atom
1.0
5.1143 0.0000 0.0000
0.0000 5.1143 0.0000
0.0000 0.0000 5.1143
U Si
4 1
direct
0.0000 0.0000 0.0000 U
0.0000 0.5000 0.5000 U
0.5000 0.0000 0.5000 U
0.5000 0.5000 0.0000 U
0.5000 0.5000 0.5000 Si

No. 9
Ce3As4Rh2 GGA-PBE relaxed; calculated density = 7999 kg/m3; calculated formation energy = -9.20 eV/f.u.; space-group type = C2/m; DOS(E_F) = 1.76 states/eV/atom
1.0
5.4109 -2.2306 0.0000
5.4109 2.2306 0.0000
-1.8360 0.0000 7.9619
Ce As Rh
3 4 2
direct
0.0000 0.0000 0.0000 Ce
0.3411 0.3411 0.3288 Ce
0.6589 0.6589 0.6712 Ce
0.0772 0.0772 0.3983 As
0.2782 0.2782 0.9353 As
0.7218 0.7218 0.0647 As
0.9228 0.9228 0.6017 As
0.4037 0.4037 0.7178 Rh
0.5963 0.5963 0.2822 Rh

No. 10
Mn2BiSCl GGA-PBE relaxed; calculated density = 4213 kg/m3; space-group type = P4/mmm; electronic total energy = -4.839 eV/atom; DOS(E_F) = 0.14 states/eV/atom
1.0
5.4418 0.0000 0.0000
0.0000 5.4418 0.0000
0.0000 0.0000 5.1430
Mn Bi S Cl
2 1 1 1
direct
0.0000 0.5000 0.0000 Mn
0.5000 0.0000 0.0000 Mn
0.0000 0.0000 0.0000 Bi
0.5000 0.5000 0.5000 S
0.0000 0.0000 0.5000 Cl

No. 11
NpTiZnO6 GGA-PBE relaxed; calculated density = 6710 kg/m3; space-group type = P-31c; electronic total energy = -8.207 eV/atom; DOS(E_F) = 0.21 states/eV/atom
1.0
5.3323 0.0000 0.0000
-2.6662 4.6179 0.0000
0.0000 0.0000 8.9706
Np Ti Zn O
2 2 2 12
direct
0.3333 0.6667 0.2500 Np
0.6667 0.3333 0.7500 Np
0.3333 0.6667 0.7500 Ti
0.6667 0.3333 0.2500 Ti
0.0000 0.0000 0.0000 Zn
0.0000 0.0000 0.5000 Zn
0.0124 0.3549 0.6336 O
0.0124 0.6575 0.8664 O
0.3425 0.3549 0.8664 O
0.3425 0.9876 0.6336 O
0.3549 0.0124 0.1336 O
0.3549 0.3425 0.3664 O
0.6451 0.6575 0.6336 O
0.6451 0.9876 0.8664 O
0.6575 0.0124 0.3664 O
0.6575 0.6451 0.1336 O
0.9876 0.3425 0.1336 O
0.9876 0.6451 0.3664 O

No. 12
TbNdScTl GGA-PBE relaxed; calculated density = 8273 kg/m3; calculated formation energy = -0.71 eV/f.u.; space-group type = Pmmm; DOS(E_F) = 1.40 states/eV/atom
1.0
4.7576 0.0000 0.0000
0.0000 4.8039 0.0000
0.0000 0.0000 4.8521
Tb Nd Sc Tl
1 1 1 1
direct
0.0000 0.0000 0.0000 Tb
0.5000 0.5000 0.0000 Nd
0.0000 0.5000 0.5000 Sc
0.5000 0.0000 0.5000 Tl

No. 13
YBeOs2 GGA-PBE relaxed; calculated density = 9607 kg/m3; calculated formation energy = 1.60 eV/f.u.; space-group type = I-42d; DOS(E_F) = 0.83 states/eV/atom
1.0
-2.2819 2.2819 7.9399
2.2819 -2.2819 7.9399
2.2819 2.2819 -7.9399
Y Be Os
2 2 4
direct
0.0000 0.0000 0.0000 Y
0.7500 0.2500 0.5000 Y
0.2500 0.7500 0.5000 Be
0.5000 0.5000 0.0000 Be
0.3132 0.1250 0.6882 Os
0.3750 0.6868 0.8118 Os
0.4368 0.6250 0.3118 Os
0.8750 0.5632 0.1882 Os

No. 14
Ca2ZnNi GGA-PBE relaxed; calculated density = 3507 kg/m3; calculated formation energy = -0.86 eV/f.u.; space-group type = P2_1/m; DOS(E_F) = 0.47 states/eV/atom
1.0
5.8598 0.0000 0.0000
0.0000 4.1777 0.0000
-2.7186 0.0000 7.9023
Ca Zn Ni
4 2 2
direct
0.2000 0.2500 0.4225 Ca
0.2747 0.7500 0.0651 Ca
0.7253 0.2500 0.9349 Ca
0.8000 0.7500 0.5775 Ca
0.3463 0.7500 0.7207 Zn
0.6537 0.2500 0.2793 Zn
0.1713 0.2500 0.7778 Ni
0.8287 0.7500 0.2222 Ni

No. 15
AlReO2 GGA-PBE relaxed; calculated density = 9998 kg/m3; space-group type = R-3m; electronic total energy = -8.385 eV/atom; DOS(E_F) = 0.24 states/eV/atom
1.0
1.3808 0.7972 6.1662
-1.3808 0.7972 6.1662
0.0000 -1.5944 6.1662
Al Re O
1 1 2
direct
0.0000 0.0000 0.0000 Al
0.5000 0.5000 0.5000 Re
0.3872 0.3872 0.3872 O
0.6128 0.6128 0.6128 O

No. 16
TlSbIO2 GGA-PBE relaxed; calculated density = 6797 kg/m3; space-group type = P4/mmm; electronic total energy = -4.051 eV/atom; DOS(E_F) = 0.21 states/eV/atom
1.0
4.3323 0.0000 0.0000
0.0000 4.3323 0.0000
0.0000 0.0000 6.3134
Tl Sb I O
1 1 1 2
direct
0.0000 0.0000 0.0000 Tl
0.5000 0.5000 0.5000 Sb
0.5000 0.5000 0.0000 I
0.0000 0.5000 0.5000 O
0.5000 0.0000 0.5000 O

No. 17
SrCa3Co GGA-PBE relaxed; calculated density = 2519 kg/m3; calculated formation energy = 0.69 eV/f.u.; space-group type = Pm-3m; DOS(E_F) = 1.07 states/eV/atom
1.0
5.6024 0.0000 0.0000
0.0000 5.6024 0.0000
0.0000 0.0000 5.6024
Sr Ca Co
1 3 1
direct
0.0000 0.0000 0.0000 Sr
0.0000 0.5000 0.5000 Ca
0.5000 0.0000 0.5000 Ca
0.5000 0.5000 0.0000 Ca
0.5000 0.5000 0.5000 Co

No. 18
V3Sb2 GGA-PBE relaxed; calculated density = 7291 kg/m3; space-group type = R-3m; electronic total energy = -7.268 eV/atom; DOS(E_F) = 0.99 states/eV/atom
1.0
2.7596 1.5932 6.8434
-2.7596 1.5932 6.8434
0.0000 -3.1865 6.8434
V Sb
6 4
direct
0.1288 0.6009 0.6009 V
0.3991 0.3991 0.8712 V
0.3991 0.8712 0.3991 V
0.6009 0.1288 0.6009 V
0.6009 0.6009 0.1288 V
0.8712 0.3991 0.3991 V
0.1113 0.1113 0.1113 Sb
0.3309 0.3309 0.3309 Sb
0.6691 0.6691 0.6691 Sb
0.8887 0.8887 0.8887 Sb

No. 19
Mn3NiMo GGA-PBE relaxed; calculated density = 7521 kg/m3; calculated formation energy = 7.39 eV/f.u.; space-group type = Pm-3m; DOS(E_F) = 2.69 states/eV/atom
1.0
4.1317 0.0000 0.0000
0.0000 4.1317 0.0000
0.0000 0.0000 4.1317
Mn Ni Mo
3 1 1
direct
0.0000 0.0000 0.5000 Mn
0.0000 0.5000 0.0000 Mn
0.5000 0.0000 0.0000 Mn
0.0000 0.0000 0.0000 Ni
0.5000 0.5000 0.5000 Mo

No. 20
BePbAu4 GGA-PBE relaxed; calculated density = 14386 kg/m3; calculated formation energy = -0.43 eV/f.u.; space-group type = C2/m; DOS(E_F) = 0.30 states/eV/atom
1.0
6.6473 -3.0719 0.0000
6.6473 3.0719 0.0000
-1.4859 0.0000 5.6759
Be Pb Au
2 2 8
direct
0.0155 0.0155 0.3216 Be
0.9845 0.9845 0.6784 Be
0.2998 0.2998 0.8668 Pb
0.7002 0.7002 0.1332 Pb
0.1580 0.6235 0.3905 Au
0.1956 0.1956 0.2776 Au
0.2436 0.7564 0.0000 Au
0.3765 0.8420 0.6095 Au
0.6235 0.1580 0.3905 Au
0.7564 0.2436 0.0000 Au
0.8044 0.8044 0.7224 Au
0.8420 0.3765 0.6095 Au

No. 21
AlTl2Ir GGA-PBE relaxed; calculated density = 10968 kg/m3; calculated formation energy = -0.27 eV/f.u.; space-group type = Immm; DOS(E_F) = 0.36 states/eV/atom
1.0
-1.5067 2.0448 7.7149
1.5067 -2.0448 7.7149
1.5067 2.0448 -7.7149
Al Tl Ir
1 2 1
direct
0.0000 0.0000 0.0000 Al
0.3292 0.8292 0.5000 Tl
0.6708 0.1708 0.5000 Tl
0.5000 0.5000 0.0000 Ir

No. 22
Tm12Sn6Ir GGA-PBE relaxed; calculated density = 8255 kg/m3; calculated formation energy = -8.13 eV/f.u.; space-group type = R-3; DOS(E_F) = 0.79 states/eV/atom
1.0
6.5161 3.7620 4.0097
-6.5161 3.7620 4.0097
0.0000 -7.5241 4.0097
Tm Sn Ir
12 6 1
direct
0.0195 0.6867 0.9430 Tm
0.0570 0.9805 0.3133 Tm
0.1966 0.4236 0.5568 Tm
0.3133 0.0570 0.9805 Tm
0.4236 0.5568 0.1966 Tm
0.4432 0.8034 0.5764 Tm
0.5568 0.1966 0.4236 Tm
0.5764 0.4432 0.8034 Tm
0.6867 0.9430 0.0195 Tm
0.8034 0.5764 0.4432 Tm
0.9430 0.0195 0.6867 Tm
0.9805 0.3133 0.0570 Tm
0.1223 0.6377 0.3115 Sn
0.3115 0.1223 0.6377 Sn
0.3623 0.6885 0.8777 Sn
0.6377 0.3115 0.1223 Sn
0.6885 0.8777 0.3623 Sn
0.8777 0.3623 0.6885 Sn
0.0000 0.0000 0.0000 Ir

No. 23
YRe2Mo GGA-PBE relaxed; calculated density = 13401 kg/m3; calculated formation energy = 1.12 eV/f.u.; space-group type = Fm-3m; DOS(E_F) = 0.66 states/eV/atom
1.0
0.0000 3.2562 3.2562
3.2562 0.0000 3.2562
3.2562 3.2562 0.0000
Y Re Mo
1 2 1
direct
0.0000 0.0000 0.0000 Y
0.2500 0.2500 0.2500 Re
0.7500 0.7500 0.7500 Re
0.5000 0.5000 0.5000 Mo

No. 24
KSc2GaBi GGA-PBE relaxed; calculated density = 4521 kg/m3; calculated formation energy = 5.97 eV/f.u.; space-group type = P4/mmm; DOS(E_F) = 1.26 states/eV/atom
1.0
5.3082 0.0000 0.0000
0.0000 5.3082 0.0000
0.0000 0.0000 5.3144
K Sc Ga Bi
1 2 1 1
direct
0.0000 0.0000 0.0000 K
0.0000 0.5000 0.0000 Sc
0.5000 0.0000 0.0000 Sc
0.0000 0.0000 0.5000 Ga
0.5000 0.5000 0.5000 Bi

No. 25
TlTeIr2 GGA-PBE relaxed; calculated density = 15411 kg/m3; space-group type = R-3m; electronic total energy = -5.279 eV/atom; DOS(E_F) = 0.82 states/eV/atom
1.0
1.6326 0.9426 8.3609
-1.6326 0.9426 8.3609
0.0000 -1.8851 8.3609
Tl Te Ir
1 1 2
direct
0.0000 0.0000 0.0000 Tl
0.5000 0.5000 0.5000 Te
0.2455 0.2455 0.2455 Ir
0.7545 0.7545 0.7545 Ir